VASP calculation (GGA-PBE) on an optimized crystal structure of Sr3Tb2HoTe6. Values from VASP.

Summary:
Raw formation energy, meV/atom: -1494
SG: C2/m

```
&SYSTEM
  ibrav = 0, nat = 12, ntyp = 4
/
ATOMIC_SPECIES
Te 127.60 Te.upf
Tb 158.93 Tb.upf
Sr 87.62 Sr.upf
Ho 164.93 Ho.upf
CELL_PARAMETERS angstrom
-3.054 -2.049 -6.847
-0.735 -4.709 6.140
-5.194 5.679 2.090
ATOMIC_POSITIONS crystal
Te 0.592 0.923 0.769
Te 0.408 0.077 0.231
Te 0.746 0.746 0.232
Tb 0.666 0.334 0.000
Tb 0.334 0.666 0.000
Sr 0.832 0.168 0.500
Te 0.077 0.408 0.231
Te 0.923 0.592 0.769
Ho 0.000 0.000 0.000
Sr 0.500 0.500 0.500
Te 0.254 0.254 0.768
Sr 0.168 0.832 0.500
```

***

VASP calculation (GGA-PBE) on an optimized crystal structure of TbPm2NdTm2. Values from VASP.

Summary:
Raw total energy, eV/atom: -4.486
SG: Pnnm

```
&SYSTEM
  ibrav = 0, nat = 12, ntyp = 4
/
ATOMIC_SPECIES
Pm 145.00 Pm.upf
Tm 168.93 Tm.upf
Nd 144.24 Nd.upf
Tb 158.93 Tb.upf
CELL_PARAMETERS angstrom
3.516 0.000 0.000
0.000 16.294 0.000
0.000 0.000 6.989
ATOMIC_POSITIONS crystal
Pm 0.000 0.661 0.748
Tm 0.500 0.847 0.749
Pm 0.500 0.839 0.248
Tm 0.000 0.653 0.249
Nd 0.000 0.000 0.500
Nd 0.500 0.500 0.000
Pm 0.000 0.339 0.252
Tb 0.000 0.000 0.000
Pm 0.500 0.161 0.752
Tm 0.500 0.153 0.251
Tm 0.000 0.347 0.751
Tb 0.500 0.500 0.500
```

***

VASP calculation (GGA-PBE) on an optimized crystal structure of Be3CuRe. Values from VASP.

Summary:
Excess energy over the best structure of this formula in the dataset, meV/atom: 0.0
SG: Pm-3m

```
&SYSTEM
  ibrav = 0, nat = 5, ntyp = 3
/
ATOMIC_SPECIES
Be 9.01 Be.upf
Re 186.21 Re.upf
Cu 63.55 Cu.upf
CELL_PARAMETERS angstrom
3.852 0.000 0.000
0.000 3.852 0.000
0.000 0.000 3.852
ATOMIC_POSITIONS crystal
Be 0.000 0.500 0.000
Be 0.000 0.000 0.500
Re 0.500 0.500 0.500
Be 0.500 0.000 0.000
Cu 0.000 0.000 0.000
```

***

VASP calculation (GGA-PBE) on an optimized crystal structure of SmYZnRh. Values from VASP.

Summary:
Excess energy over the best structure of this formula in the dataset, meV/atom: 0.0
SG: Amm2

```
&SYSTEM
  ibrav = 0, nat = 4, ntyp = 4
/
ATOMIC_SPECIES
Zn 65.41 Zn.upf
Rh 102.91 Rh.upf
Y 88.91 Y.upf
Sm 150.36 Sm.upf
CELL_PARAMETERS angstrom
-1.420 3.423 1.238
-1.316 -1.910 3.774
5.427 -0.560 1.608
ATOMIC_POSITIONS crystal
Zn 0.571 0.500 0.142
Rh 0.426 0.000 0.853
Y 0.861 0.500 0.723
Sm 0.141 0.000 0.283
```

***

VASP calculation (GGA-PBE) on an optimized crystal structure of Cd2RuBr. Values from VASP.

Summary:
Raw formation energy, meV/atom: 631
Excess energy over the best structure of this formula in the dataset, meV/atom: 464.5
SG: F-43m

```
&SYSTEM
  ibrav = 0, nat = 4, ntyp = 3
/
ATOMIC_SPECIES
Cd 112.41 Cd.upf
Ru 101.07 Ru.upf
Br 79.90 Br.upf
CELL_PARAMETERS angstrom
-1.768 -3.093 -3.285
2.974 -2.097 -3.201
0.988 -4.732 0.349
ATOMIC_POSITIONS crystal
Cd 0.250 0.250 0.250
Cd 0.000 0.000 0.000
Ru 0.750 0.750 0.750
Br 0.500 0.500 0.500
```

***

VASP calculation (GGA-PBE) on an optimized crystal structure of BaTbPaN3. Values from VASP.

Summary:
Raw formation energy, meV/atom: -1181
SG: P2_1/m

```
&SYSTEM
  ibrav = 0, nat = 12, ntyp = 4
/
ATOMIC_SPECIES
N 14.01 N.upf
Pa 231.04 Pa.upf
Ba 137.33 Ba.upf
Tb 158.93 Tb.upf
CELL_PARAMETERS angstrom
3.537 0.000 0.000
0.000 7.356 1.031
0.000 -1.640 9.916
ATOMIC_POSITIONS crystal
N 0.250 0.583 0.909
Pa 0.250 0.614 0.133
N 0.750 0.417 0.091
N 0.750 0.120 0.416
Ba 0.250 0.123 0.201
Pa 0.750 0.386 0.867
N 0.750 0.776 0.204
N 0.250 0.880 0.584
N 0.250 0.224 0.796
Tb 0.750 0.818 0.451
Ba 0.750 0.877 0.799
Tb 0.250 0.182 0.549
```

***

VASP calculation (GGA-PBE) on an optimized crystal structure of PaBePdO6. Values from VASP.

Summary:
Raw formation energy, meV/atom: -1870
SG: P312

```
&SYSTEM
  ibrav = 0, nat = 9, ntyp = 4
/
ATOMIC_SPECIES
O 16.00 O.upf
Pa 231.04 Pa.upf
Pd 106.42 Pd.upf
Be 9.01 Be.upf
CELL_PARAMETERS angstrom
-2.458 -3.625 -1.769
4.142 -2.779 -0.060
-2.932 0.019 4.035
ATOMIC_POSITIONS crystal
O 0.722 0.313 0.010
O 0.722 0.697 0.687
O 0.278 0.990 0.687
Pa 0.000 0.333 0.667
Pd 0.500 0.667 0.333
O 0.278 0.313 0.303
Be 0.500 0.000 0.000
O 0.722 0.990 0.303
O 0.278 0.697 0.010
```

***

VASP calculation (GGA-PBE) on an optimized crystal structure of VFePd14. Values from VASP.

Summary:
Raw total energy, eV/atom: -5.746
SG: P4/mmm

```
&SYSTEM
  ibrav = 0, nat = 16, ntyp = 3
/
ATOMIC_SPECIES
Pd 106.42 Pd.upf
V 50.94 V.upf
Fe 55.84 Fe.upf
CELL_PARAMETERS angstrom
5.573 -0.012 0.000
0.012 5.573 0.000
0.000 0.000 7.755
ATOMIC_POSITIONS crystal
Pd 0.124 0.626 0.741
Pd 0.626 0.626 0.741
Pd 0.875 0.875 0.000
Pd 0.626 0.626 0.259
Pd 0.124 0.626 0.259
Pd 0.375 0.375 0.000
V 0.875 0.875 0.500
Fe 0.375 0.375 0.500
Pd 0.124 0.124 0.259
Pd 0.124 0.124 0.741
Pd 0.626 0.124 0.741
Pd 0.875 0.375 0.000
Pd 0.375 0.875 0.000
Pd 0.375 0.875 0.500
Pd 0.875 0.375 0.500
Pd 0.626 0.124 0.259
```

***

VASP calculation (GGA-PBE) on an optimized crystal structure of Dy3Ho12Tm. Values from VASP.

Summary:
Raw total energy, eV/atom: -4.556
SG: P4/mmm

```
&SYSTEM
  ibrav = 0, nat = 16, ntyp = 3
/
ATOMIC_SPECIES
Dy 162.50 Dy.upf
Ho 164.93 Ho.upf
Tm 168.93 Tm.upf
CELL_PARAMETERS angstrom
-1.335 -0.791 4.728
3.088 -3.895 0.220
14.649 11.961 6.136
ATOMIC_POSITIONS crystal
Dy 0.000 0.000 0.500
Ho 0.500 0.000 0.625
Ho 0.000 0.500 0.375
Ho 0.500 0.000 0.124
Ho 0.500 0.500 0.500
Ho 0.000 0.500 0.124
Ho 0.000 0.500 0.625
Ho 0.500 0.000 0.876
Dy 0.000 0.000 0.250
Ho 0.500 0.500 0.751
Ho 0.500 0.500 0.249
Tm 0.000 0.000 0.000
Ho 0.000 0.500 0.876
Ho 0.500 0.500 0.000
Dy 0.000 0.000 0.750
Ho 0.500 0.000 0.375
```

***

VASP calculation (GGA-PBE) on an optimized crystal structure of LaGeS4. Values from VASP.

Summary:
Raw formation energy, meV/atom: -910
SG: P2_1/m

```
&SYSTEM
  ibrav = 0, nat = 12, ntyp = 3
/
ATOMIC_SPECIES
S 32.06 S.upf
La 138.91 La.upf
Ge 72.64 Ge.upf
CELL_PARAMETERS angstrom
5.817 -0.874 0.000
-3.960 6.460 0.000
0.000 0.000 9.304
ATOMIC_POSITIONS crystal
S 0.001 0.686 0.433
La 0.999 0.633 0.750
Ge 0.999 0.122 0.750
S 0.396 0.148 0.750
Ge 0.001 0.878 0.250
S 0.001 0.686 0.067
S 0.398 0.249 0.250
S 0.999 0.314 0.933
S 0.999 0.314 0.567
La 0.001 0.367 0.250
S 0.602 0.751 0.750
S 0.604 0.852 0.250
```

***

VASP calculation (GGA-PBE) on an optimized crystal structure of LaDy2Pb. Values from VASP.

Summary:
Excess energy over the best structure of this formula in the dataset, meV/atom: 0.0
SG: P2_1/m

```
&SYSTEM
  ibrav = 0, nat = 8, ntyp = 3
/
ATOMIC_SPECIES
La 138.91 La.upf
Dy 162.50 Dy.upf
Pb 207.20 Pb.upf
CELL_PARAMETERS angstrom
4.819 0.000 0.000
0.000 4.686 -0.927
0.000 -0.108 11.642
ATOMIC_POSITIONS crystal
La 0.250 0.310 0.617
Dy 0.750 0.061 0.122
Pb 0.750 0.840 0.676
Dy 0.250 0.939 0.878
La 0.750 0.690 0.383
Dy 0.250 0.555 0.110
Dy 0.750 0.445 0.890
Pb 0.250 0.160 0.324
```

***

VASP calculation (GGA-PBE) on an optimized crystal structure of ZrW3Br. Values from VASP.

Summary:
Raw formation energy, meV/atom: 2860
Excess energy over the best structure of this formula in the dataset, meV/atom: 1105.4
SG: Pm-3m

```
&SYSTEM
  ibrav = 0, nat = 5, ntyp = 3
/
ATOMIC_SPECIES
Br 79.90 Br.upf
W 183.84 W.upf
Zr 91.22 Zr.upf
CELL_PARAMETERS angstrom
-0.627 -0.732 4.832
-4.383 -2.071 -0.882
2.162 -4.411 -0.387
ATOMIC_POSITIONS crystal
Br 0.500 0.500 0.500
W 0.000 0.500 0.000
Zr 0.000 0.000 0.000
W 0.000 0.000 0.500
W 0.500 0.000 0.000
```

***

| no. | DOS at the Fermi energy (states/eV/f.u.) | ρ (Mg/m³) |
| --- | --- | --- |
| 1 | 5.13 | 6.36 |
| 2 | 9.13 | 7.72 |
| 3 | 3.30 | 8.04 |
| 4 | 3.13 | 7.32 |
| 5 | 4.62 | 8.37 |
| 6 | 1.92 | 7.16 |
| 7 | 7.31 | 7.22 |
| 8 | 22.89 | 11.01 |
| 9 | 20.49 | 8.89 |
| 10 | 5.14 | 3.56 |
| 11 | 5.17 | 8.49 |
| 12 | 8.41 | 10.03 |